This record from OQMD describes crystalline ScBeHgAu at its relaxed geometry. The functional is PBE.

abc: 6.5308 6.5308 6.5308
angles: 90.00 90.00 90.00
Last column: nearest neighbours and their distance in Å.
Space group F-43m (No. 216)
Asymmetric unit:
Sc1 0.0000 0.0000 0.0000 (multiplicity 4)  4 Hg 2.83, 4 Be 2.83
Be1 0.2500 0.2500 0.2500 (multiplicity 4)  4 Sc 2.83, 4 Au 2.83
Hg1 0.2500 0.2500 0.7500 (multiplicity 4)  4 Sc 2.83, 4 Au 2.83
Au1 0.0000 0.0000 0.5000 (multiplicity 4)  4 Hg 2.83, 4 Be 2.83

Values from the calculation:
Relative energy among the computed polymorphs, meV per atom: 106



This record from OQMD describes crystalline BeTlHgAu at its relaxed geometry. The functional is PBE.

abc: 6.9254 6.9254 6.9254
angles: 90.00 90.00 90.00
Last column: nearest neighbours and their distance in Å.
Space group F-43m (No. 216)
Asymmetric unit:
Be1 0.0000 0.0000 0.0000 (multiplicity 4)  4 Hg 3.00, 4 Au 3.00
Tl1 0.0000 0.0000 0.5000 (multiplicity 4)  4 Au 3.00, 4 Hg 3.00
Hg1 0.2500 0.2500 0.7500 (multiplicity 4)  4 Tl 3.00, 4 Be 3.00
Au1 0.2500 0.2500 0.2500 (multiplicity 4)  4 Be 3.00, 4 Tl 3.00

Values from the calculation:
Relative energy among the computed polymorphs, meV per atom: 0



This record from OQMD describes crystalline HoBeAu at its relaxed geometry. The functional is PBE.

abc: 6.1712 6.1712 6.1712
angles: 90.00 90.00 90.00
Last column: nearest neighbours and their distance in Å.
Space group F-43m (No. 216)
Asymmetric unit:
Ho1 0.0000 0.0000 0.0000 (multiplicity 4)  4 Be 2.67
Be1 0.2500 0.2500 0.7500 (multiplicity 4)  4 Ho 2.67, 4 Au 2.67
Au1 0.0000 0.0000 0.5000 (multiplicity 4)  4 Be 2.67

Values from the calculation:
Relative energy among the computed polymorphs, meV per atom: 0